1.
# ErFeB2Ru (PBE, optimized geometry)
# - ΔE_f (eV per atom) = -0.4400
data_ErFeB2Ru
_chemical_formula_sum 'Er2 Fe2 B4 Ru2'
_cell_length_a 3.7224
_cell_length_b 3.7224
_cell_length_c 9.4131
_cell_angle_alpha 90.00
_cell_angle_beta 90.00
_cell_angle_gamma 90.00
_space_group_name_H-M_alt 'I -4 m 2'
_space_group_IT_number 119
_space_group_name_Hall 'I -4 -2'
loop_
_atom_site_label
_atom_site_type_symbol
_atom_site_fract_x
_atom_site_fract_y
_atom_site_fract_z
Er1 Er 0.0000 0.0000 0.0000
Fe1 Fe 0.0000 0.5000 0.2500
B1 B 0.0000 0.0000 0.3508
Ru1 Ru 0.0000 0.5000 0.7500

---

2.
# ErGaB (PBE, optimized geometry)
# - ΔE_f (eV per atom) = -0.2228
data_ErGaB
_chemical_formula_sum 'Er8 Ga8 B8'
_cell_length_a 3.3415
_cell_length_b 7.8506
_cell_length_c 16.1350
_cell_angle_alpha 90.00
_cell_angle_beta 90.00
_cell_angle_gamma 90.00
_space_group_name_H-M_alt 'F m m m'
_space_group_IT_number 69
_space_group_name_Hall '-F 2 2'
loop_
_atom_site_label
_atom_site_type_symbol
_atom_site_fract_x
_atom_site_fract_y
_atom_site_fract_z
Er1 Er 0.0000 0.0000 0.1452
Ga1 Ga 0.0000 0.1461 0.5000
B1 B 0.2500 0.2500 0.2500

---

3.
# ErGaBIr2 (PBE, optimized geometry)
# - ΔE_f (eV per atom) = -0.6547
data_ErGaBIr2
_chemical_formula_sum 'Er4 Ga4 B4 Ir8'
_cell_length_a 3.9584
_cell_length_b 11.2824
_cell_length_c 7.3686
_cell_angle_alpha 90.00
_cell_angle_beta 90.00
_cell_angle_gamma 90.00
_space_group_name_H-M_alt 'C m c m'
_space_group_IT_number 63
_space_group_name_Hall '-C 2c 2'
loop_
_atom_site_label
_atom_site_type_symbol
_atom_site_fract_x
_atom_site_fract_y
_atom_site_fract_z
Er1 Er 0.0000 0.0475 0.2500
Ga1 Ga 0.0000 0.2347 0.7500
B1 B 0.0000 0.5000 0.0000
Ir1 Ir 0.0000 0.3349 0.0598